First-principles (PBE-GGA) data for a relaxed TbTh3C3 crystal, as listed in the Alexandria database.

It has space group Pm-3m (No. 221), with a = 5.232 Å, b = 5.232 Å, c = 5.232 Å, α = 90.00°, β = 90.00° and γ = 90.00°. The inequivalent atoms are Tb at (0.000, 0.000, 0.000), Th at (0.000, 0.500, 0.500) and C at (0.000, 0.000, 0.500).

As for the relative energy among the computed polymorphs: 0 meV per atom. As for the formation energy: -0.21 eV per atom. As for the density of states at the Fermi level: 0.646 states/eV/atom.